Material: BeTlCrO4
Method: DFT, GGA+U
State: relaxed

**DFT total energy**: -6.225 eV per atom
**Size of the total moment**: 2.999 μB/f.u.

Structure (POSCAR):
```
BeTlCrO4
1.0
-3.002 3.081 4.237
3.002 -3.081 4.237
3.002 3.081 -4.237
Be Tl Cr O
2 2 2 8
Cartesian
0.000 1.540 0.875
3.002 1.540 3.363
3.002 0.000 0.000
0.000 0.000 4.237
1.501 1.540 -2.119
1.501 -1.540 2.119
3.002 2.981 -2.233
1.333 1.540 -0.065
1.668 -1.540 4.172
3.002 -0.099 2.233
0.000 3.180 2.005
1.333 4.621 0.065
1.668 1.540 4.302
0.000 0.099 6.470
```